VASP calculation (PBE-GGA) on a relaxed structure of Rb2Ti2P3O12.

Cell lengths 10.0891, 10.0891, 10.0891 Å; angles 90.00, 90.00, 90.00 degrees
Each line ends with the local moment (μB).
Fractional positions:
Rb: 0.0416 0.0416 0.0416  0.00
Rb: 0.4584 0.9584 0.5416  0.00
Rb: 0.9584 0.5416 0.4584  0.00
Rb: 0.5416 0.4584 0.9584  0.00
Rb: 0.8194 0.8194 0.8194  0.00
Rb: 0.6806 0.1806 0.3194  0.00
Rb: 0.1806 0.3194 0.6806  0.00
Rb: 0.3194 0.6806 0.1806  0.00
Ti: 0.6083 0.6083 0.6083  0.48
Ti: 0.8917 0.3917 0.1083  0.48
Ti: 0.3917 0.1083 0.8917  0.48
Ti: 0.1083 0.8917 0.3917  0.48
Ti: 0.3373 0.3373 0.3373  0.49
Ti: 0.1627 0.6627 0.8373  0.49
Ti: 0.6627 0.8373 0.1627  0.49
Ti: 0.8373 0.1627 0.6627  0.49
P: 0.0234 0.2067 0.3755  0.01
P: 0.4766 0.7933 0.8755  0.01
P: 0.9766 0.7067 0.1245  0.01
P: 0.3755 0.0234 0.2067  0.01
P: 0.5234 0.2933 0.6245  0.01
P: 0.8755 0.4766 0.7933  0.01
P: 0.1245 0.9766 0.7067  0.01
P: 0.6245 0.5234 0.2933  0.01
P: 0.2067 0.3755 0.0234  0.01
P: 0.7067 0.1245 0.9766  0.01
P: 0.2933 0.6245 0.5234  0.01
P: 0.7933 0.8755 0.4766  0.01
O: 0.0199 0.0594 0.3319  -0.01
O: 0.4801 0.9406 0.8319  -0.01
O: 0.9801 0.5594 0.1681  -0.01
O: 0.3319 0.0199 0.0594  -0.01
O: 0.5199 0.4406 0.6681  -0.01
O: 0.8319 0.4801 0.9406  -0.01
O: 0.1681 0.9801 0.5594  -0.01
O: 0.6681 0.5199 0.4406  -0.01
O: 0.0594 0.3319 0.0199  -0.01
O: 0.5594 0.1681 0.9801  -0.01
O: 0.4406 0.6681 0.5199  -0.01
O: 0.9406 0.8319 0.4801  -0.01
O: 0.1673 0.2546 0.3959  -0.01
O: 0.3327 0.7454 0.8959  -0.01
O: 0.8327 0.7546 0.1041  -0.01
O: 0.3959 0.1673 0.2546  -0.01
O: 0.6673 0.2454 0.6041  -0.01
O: 0.8959 0.3327 0.7454  -0.01
O: 0.1041 0.8327 0.7546  -0.01
O: 0.6041 0.6673 0.2454  -0.01
O: 0.2546 0.3959 0.1673  -0.01
O: 0.7546 0.1041 0.8327  -0.01
O: 0.2454 0.6041 0.6673  -0.01
O: 0.7454 0.8959 0.3327  -0.01
O: 0.2733 0.4934 0.4456  -0.01
O: 0.2267 0.5066 0.9456  -0.01
O: 0.7267 0.9934 0.0544  -0.01
O: 0.4456 0.2733 0.4934  -0.01
O: 0.7733 0.0066 0.5544  -0.01
O: 0.9456 0.2267 0.5066  -0.01
O: 0.0544 0.7267 0.9934  -0.01
O: 0.5544 0.7733 0.0066  -0.01
O: 0.4934 0.4456 0.2733  -0.01
O: 0.9934 0.0544 0.7267  -0.01
O: 0.0066 0.5544 0.7733  -0.01
O: 0.5066 0.9456 0.2267  -0.01
O: 0.0474 0.7917 0.2308  -0.01
O: 0.4526 0.2083 0.7308  -0.01
O: 0.9526 0.2917 0.2692  -0.01
O: 0.2308 0.0474 0.7917  -0.01
O: 0.5474 0.7083 0.7692  -0.01
O: 0.7308 0.4526 0.2083  -0.01
O: 0.2692 0.9526 0.2917  -0.01
O: 0.7692 0.5474 0.7083  -0.01
O: 0.7917 0.2308 0.0474  -0.01
O: 0.2917 0.2692 0.9526  -0.01
O: 0.7083 0.7692 0.5474  -0.01
O: 0.2083 0.7308 0.4526  -0.01

**E_form (uncorrected)**: -2522 meV per atom
**Symmetry**: P2_13
**D(E_F)**: 29.0 states/eV per cell
**DFT total energy**: -7.4406 eV/atom


VASP calculation (PBE-GGA) on a relaxed structure of RbTiP2O.

Cell lengths 5.1268, 5.1268, 4.1538 Å; angles 90.00, 90.00, 90.00 degrees
Fractional positions:
P: 0.0000 0.5000 0.0000
P: 0.5000 0.0000 0.0000
O: 0.0000 0.0000 0.5000
Rb: 0.0000 0.0000 0.0000
Ti: 0.5000 0.5000 0.5000

**E_form (uncorrected)**: 1575 meV per atom
**Symmetry**: P4/mmm
**D(E_F)**: 3.7 states/eV per cell
**DFT total energy**: -3.3534 eV/atom


VASP calculation (PBE-GGA) on a relaxed structure of RbTiP2O.

Cell lengths 4.5552, 10.3413, 4.5552 Å; angles 90.00, 90.00, 90.00 degrees
Fractional positions:
P: 0.0000 0.0000 0.5000
P: 0.5000 0.0000 0.0000
O: 0.5000 0.5000 0.5000
Rb: 0.0000 0.5000 0.0000
Ti: 0.0000 0.0000 0.0000

**E_form (uncorrected)**: 285 meV per atom
**Symmetry**: P4/mmm
**D(E_F)**: 10.1 states/eV per cell
**DFT total energy**: -4.6428 eV/atom


VASP calculation (PBE-GGA) on a relaxed structure of RbTlPO4.

Cell lengths 5.5495, 5.8318, 9.2271 Å; angles 90.00, 120.51, 90.00 degrees
Fractional positions:
Rb: 0.6105 0.7500 0.8705
Rb: 0.3895 0.2500 0.1295
Tl: 0.8427 0.7500 0.5509
Tl: 0.1573 0.2500 0.4491
P: 0.1414 0.7500 0.3009
P: 0.8586 0.2500 0.6991
O: 0.0346 0.4688 0.7857
O: 0.9654 0.9688 0.2143
O: 0.9654 0.5312 0.2143
O: 0.0346 0.0312 0.7857
O: 0.4120 0.7500 0.2887
O: 0.5880 0.2500 0.7113
O: 0.2301 0.7500 0.4938
O: 0.7699 0.2500 0.5062

**E_form (uncorrected)**: -1776 meV per atom
**Symmetry**: P2_1/m
**D(E_F)**: 3.9 states/eV per cell
**DFT total energy**: -5.8583 eV/atom


VASP calculation (PBE-GGA) on a relaxed structure of RbTl2P2O6.

Cell lengths 7.1435, 6.2172, 7.2227 Å; angles 109.46, 90.00, 125.06 degrees
Each line ends with the local moment (μB).
Fractional positions:
Rb: 0.5000 0.0000 0.5000  0.00
Tl: 0.6965 0.3930 0.1417  0.00
Tl: 0.3035 0.6070 0.8583  0.00
P: 0.9664 0.9327 0.6494  0.05
P: 0.0336 0.0673 0.3506  0.05
O: 0.8032 0.6064 0.5447  0.08
O: 0.1377 0.9159 0.2457  0.09
O: 0.2219 0.0841 0.7543  0.09
O: 0.8623 0.0841 0.7543  0.09
O: 0.7781 0.9159 0.2457  0.09
O: 0.1968 0.3936 0.4553  0.08

**E_form (uncorrected)**: -1654 meV per atom
**Symmetry**: C2/m
**D(E_F)**: 0.0 states/eV per cell
**DFT total energy**: -5.8607 eV/atom


VASP calculation (PBE-GGA) on a relaxed structure of RbTlP2O.

Cell lengths 5.3830, 5.3830, 4.5686 Å; angles 90.00, 90.00, 90.00 degrees
Each line ends with the local moment (μB).
Fractional positions:
P: 0.0000 0.5000 0.0000  0.50
P: 0.5000 0.0000 0.0000  0.50
Tl: 0.0000 0.0000 0.0000  -0.01
O: 0.0000 0.0000 0.5000  0.41
Rb: 0.5000 0.5000 0.5000  0.02

**E_form (uncorrected)**: 546 meV per atom
**Symmetry**: P4/mmm
**D(E_F)**: 3.9 states/eV per cell
**DFT total energy**: -3.2760 eV/atom


VASP calculation (PBE-GGA) on a relaxed structure of RbTl2P2O7.

Cell lengths 5.7711, 5.7711, 8.6204 Å; angles 70.44, 70.44, 60.00 degrees
Fractional positions:
Rb: 0.5000 0.5000 0.5000
Tl: 0.6993 0.6993 0.9022
Tl: 0.3007 0.3007 0.0978
P: 0.9320 0.9320 0.2039
P: 0.0680 0.0680 0.7961
O: 0.1584 0.9376 0.2563
O: 0.6477 0.1584 0.2563
O: 0.9376 0.6477 0.2563
O: 0.3523 0.0624 0.7437
O: 0.8416 0.3523 0.7437
O: 0.0000 0.0000 0.0000
O: 0.0624 0.8416 0.7437

**E_form (uncorrected)**: -1790 meV per atom
**Symmetry**: R32
**D(E_F)**: 5.0 states/eV per cell
**DFT total energy**: -6.0592 eV/atom


VASP calculation (PBE-GGA) on a relaxed structure of RbTlP2O.

Cell lengths 6.3717, 6.3717, 4.8829 Å; angles 90.00, 90.00, 90.00 degrees
Each line ends with the local moment (μB).
Fractional positions:
P: 0.0000 0.5000 0.0000  0.99
P: 0.5000 0.0000 0.0000  0.99
Tl: 0.5000 0.5000 0.5000  0.01
O: 0.0000 0.0000 0.5000  0.92
Rb: 0.0000 0.0000 0.0000  0.12

**E_form (uncorrected)**: 1235 meV per atom
**Symmetry**: P4/mmm
**D(E_F)**: 3.4 states/eV per cell
**DFT total energy**: -2.5870 eV/atom


VASP calculation (PBE-GGA) on a relaxed structure of RbTlP2O8.

Cell lengths 5.2213, 5.2213, 8.5726 Å; angles 90.00, 90.00, 120.00 degrees
Each line ends with the local moment (μB).
Fractional positions:
Rb: 0.0000 0.0000 0.0000  0.00
Tl: 0.0000 0.0000 0.5000  0.00
P: 0.6667 0.3333 0.2847  -0.02
P: 0.3333 0.6667 0.7153  -0.02
O: 0.3333 0.6667 0.8960  0.38
O: 0.3670 0.2986 0.3370  0.16
O: 0.7014 0.0683 0.3370  0.16
O: 0.6667 0.3333 0.1040  0.38
O: 0.2986 0.9317 0.6630  0.16
O: 0.6330 0.7014 0.6630  0.16
O: 0.0683 0.3670 0.6630  0.16
O: 0.9317 0.6330 0.3370  0.16

**E_form (uncorrected)**: -1585 meV per atom
**Symmetry**: P-3
**D(E_F)**: 10.6 states/eV per cell
**DFT total energy**: -6.0695 eV/atom


VASP calculation (PBE-GGA) on a relaxed structure of Rb3TlP2O8.

Cell lengths 5.6911, 5.6911, 8.3722 Å; angles 90.00, 90.00, 120.00 degrees
Fractional positions:
Rb: 0.3333 0.6667 0.7623
Rb: 0.6667 0.3333 0.2377
Rb: 0.0000 0.0000 0.0000
Tl: 0.0000 0.0000 0.5000
P: 0.3333 0.6667 0.2750
P: 0.6667 0.3333 0.7250
O: 0.3333 0.6667 0.0919
O: 0.6667 0.3333 0.9081
O: 0.1820 0.8180 0.3327
O: 0.8180 0.1820 0.6673
O: 0.1820 0.3641 0.3327
O: 0.8180 0.6359 0.6673
O: 0.6359 0.8180 0.3327
O: 0.3641 0.1820 0.6673

**E_form (uncorrected)**: -1935 meV per atom
**Symmetry**: P-3m1
**DFT total energy**: -5.9171 eV/atom


VASP calculation (PBE-GGA) on a relaxed structure of RbTmP4O12.

Cell lengths 8.8983, 10.3744, 11.0891 Å; angles 106.83, 90.00, 90.00 degrees
Fractional positions:
Rb: 0.0629 0.1934 0.9602
Rb: 0.5629 0.3066 0.5398
Rb: 0.9371 0.8066 0.0398
Rb: 0.4371 0.6934 0.4602
Tm: 0.2740 0.5018 0.8161
Tm: 0.7740 0.9982 0.6839
Tm: 0.7260 0.4982 0.1839
Tm: 0.2260 0.0018 0.3161
P: 0.0272 0.7468 0.7192
P: 0.5272 0.7532 0.7808
P: 0.9728 0.2532 0.2808
P: 0.4728 0.2468 0.2192
P: 0.1714 0.9598 0.6320
P: 0.6714 0.5402 0.8680
P: 0.8286 0.0402 0.3680
P: 0.3286 0.4598 0.1320
P: 0.4106 0.1488 0.7569
P: 0.9106 0.3512 0.7431
P: 0.5894 0.8512 0.2431
P: 0.0894 0.6488 0.2569
P: 0.1125 0.3238 0.5242
P: 0.6125 0.1762 0.9758
P: 0.8875 0.6762 0.4758
P: 0.3875 0.8238 0.0242
O: 0.4522 0.8620 0.9023
O: 0.9522 0.6380 0.5977
O: 0.5478 0.1380 0.0977
O: 0.0478 0.3620 0.4023
O: 0.0449 0.4020 0.8250
O: 0.5449 0.0980 0.6750
O: 0.9551 0.5980 0.1750
O: 0.4551 0.9020 0.3250
O: 0.0964 0.6683 0.7988
O: 0.5964 0.8317 0.7012
O: 0.9036 0.3317 0.2012
O: 0.4036 0.1683 0.2988
O: 0.3275 0.2684 0.7414
O: 0.8275 0.2316 0.7586
O: 0.6725 0.7316 0.2586
O: 0.1725 0.7684 0.2414
O: 0.4166 0.6443 0.7184
O: 0.9166 0.8557 0.7816
O: 0.5834 0.3557 0.2816
O: 0.0834 0.1443 0.2184
O: 0.0262 0.0348 0.6656
O: 0.5262 0.4652 0.8344
O: 0.9738 0.9652 0.3344
O: 0.4738 0.5348 0.1656
O: 0.1603 0.8123 0.6551
O: 0.6603 0.6877 0.8449
O: 0.8397 0.1877 0.3449
O: 0.3397 0.3123 0.1551
O: 0.2908 0.0273 0.7437
O: 0.7908 0.4727 0.7563
O: 0.7092 0.9727 0.2563
O: 0.2092 0.5273 0.2437
O: 0.3281 0.6829 0.9799
O: 0.8281 0.8171 0.5201
O: 0.6719 0.3171 0.0201
O: 0.1719 0.1829 0.4799
O: 0.2150 0.4329 0.5988
O: 0.7150 0.0671 0.9012
O: 0.7850 0.5671 0.4012
O: 0.2850 0.9329 0.0988
O: 0.4542 0.1741 0.9025
O: 0.9542 0.3259 0.5975
O: 0.5458 0.8259 0.0975
O: 0.0458 0.6741 0.4025
O: 0.2418 0.9381 0.5053
O: 0.7418 0.5619 0.9947
O: 0.7582 0.0619 0.4947
O: 0.2582 0.4381 0.0053

**E_form (uncorrected)**: -2457 meV per atom
**Symmetry**: P2_1/c
**D(E_F)**: 0.0 states/eV per cell
**DFT total energy**: -7.2665 eV/atom


VASP calculation (PBE-GGA) on a relaxed structure of Rb3TmP2O8.

Cell lengths 5.6998, 5.6998, 8.2445 Å; angles 90.00, 90.00, 120.00 degrees
Fractional positions:
Rb: 0.3333 0.6667 0.7585
Rb: 0.6667 0.3333 0.2415
Rb: 0.0000 0.0000 0.0000
Tm: 0.0000 0.0000 0.5000
P: 0.3333 0.6667 0.2799
P: 0.6667 0.3333 0.7201
O: 0.3333 0.6667 0.0942
O: 0.6667 0.3333 0.9058
O: 0.1842 0.8158 0.3447
O: 0.8158 0.1842 0.6553
O: 0.1842 0.3683 0.3447
O: 0.8158 0.6317 0.6553
O: 0.6317 0.8158 0.3447
O: 0.3683 0.1842 0.6553

**E_form (uncorrected)**: -2579 meV per atom
**Symmetry**: P-3m1
**D(E_F)**: 0.0 states/eV per cell
**DFT total energy**: -6.7121 eV/atom